[1]
A plane-wave DFT calculation with meta-GGA SCAN was carried out for a crystal of LiSbPt2 relaxed with PBEsol.

a b c (Å): 3.513 3.513 5.279
angles (deg): 90.00 90.00 90.00
Positions (direct):
Sb  0.000  0.000  0.476
Pt  0.000  0.000  0.972
Pt  0.500  0.500  0.267
Li  0.500  0.500  0.785

Output
The space-group type is P4mm. Its crystal system is tetragonal. For the raw formation energy, the calculation gives -11.1 kcal/mol of atoms.


[2]
A plane-wave DFT calculation with meta-GGA SCAN was carried out for a crystal of ScFeHg2 relaxed with PBEsol.

a b c (Å): 4.669 4.669 4.669
angles (deg): 60.00 60.00 60.00
Positions (direct):
Fe  0.500  0.500  0.500
Hg  0.000  0.000  0.000
Hg  0.750  0.750  0.750
Sc  0.250  0.250  0.250

Output
The space-group type is F-43m. Its crystal system is cubic. The formation energy comes out at -14 meV per atom.


[3]
A plane-wave DFT calculation with meta-GGA SCAN was carried out for a crystal of ZnInNi2 relaxed with PBEsol.

a b c (Å): 3.050 3.050 5.893
angles (deg): 90.00 90.00 90.00
Positions (direct):
In  0.500  0.500  0.778
Ni  0.000  0.000  0.026
Ni  0.500  0.500  0.254
Zn  0.000  0.000  0.443

Output
The space-group type is P4mm. Its crystal system is tetragonal. The formation energy comes out at 49 meV per atom.


[4]
A plane-wave DFT calculation with meta-GGA SCAN was carried out for a crystal of Ca2TaTl relaxed with PBEsol.

a b c (Å): 3.351 5.455 6.532
angles (deg): 114.68 104.86 90.00
Positions (direct):
Tl  0.231  0.731  0.462
Ca  0.975  0.975  0.950
Ca  0.768  0.268  0.535
Ta  0.526  0.526  0.052

Output
As for the excess energy over the best structure of this formula in the dataset: 0.000 eV per atom. The space-group type is Imm2. Its crystal system is orthorhombic. The formation energy comes out at 388 meV per atom.


[5]
A plane-wave DFT calculation with meta-GGA SCAN was carried out for a crystal of LaCd2Au relaxed with PBEsol.

a b c (Å): 3.940 4.961 5.137
angles (deg): 90.00 103.14 90.00
Positions (direct):
Cd  0.841  0.000  0.718
Cd  0.159  0.000  0.282
Au  0.000  0.500  0.500
La  0.500  0.500  0.000

Output
The space-group type is P2/m. Its crystal system is monoclinic. The formation energy comes out at -487 meV per atom.


[6]
A plane-wave DFT calculation with meta-GGA SCAN was carried out for a crystal of CrIn2Ru relaxed with PBEsol.

a b c (Å): 3.065 4.143 5.503
angles (deg): 90.00 106.17 90.00
Positions (direct):
Cr  0.578  0.500  0.156
In  0.960  0.000  0.920
In  0.302  0.500  0.604
Ru  0.682  0.000  0.365

Output
The space-group type is Amm2. Its crystal system is orthorhombic. The formation energy comes out at 288 meV per atom.


Uncorrected energy in eV/cell, matching the order above: -182.0; -168.8; -79.1; -156.7; -175.0; -118.8